DyHoMnIn | GGA-PBE | relaxed

Values from the calculation:
SG ... F-43m, No. 216
ρ ... 8.4 g/cm3
Calculated total energy ... -5.370 eV/atom

a = 5.186 Å, b = 5.186 Å, c = 5.186 Å
α = 60.00°, β = 60.00°, γ = 60.00°
Last column: magnetic moment on the atom in μB.
Element x y z (fractional)
Dy1 0.750 0.750 0.750  -0.21
In1 0.500 0.500 0.500  0.00
Mn1 0.000 0.000 0.000  3.68
Ho1 0.250 0.250 0.250  -0.22